1.
# Ce2NdSm3Dy6, relaxed, DFT GGA-PBE
# Calculated density ... 7.98 g/cm3
# E ... -4.820 eV/atom
# DOS(E_F) ... 42.42 states/eV/cell
data_Ce2NdSm3Dy6
_symmetry_space_group_name_H-M 'C 1 2/m 1'
_symmetry_Int_Tables_number 12
_symmetry_space_group_name_Hall '-C 2y'
_cell_length_a 6.192
_cell_length_b 10.726
_cell_length_c 11.775
_cell_angle_alpha 90.00
_cell_angle_beta 100.10
_cell_angle_gamma 90.00
loop_
_atom_site_label
_atom_site_fract_x
_atom_site_fract_y
_atom_site_fract_z
Ce1 0.000 0.167 0.000
Nd1 0.000 0.500 0.000
Sm1 0.000 0.000 0.500
Sm2 0.000 0.334 0.500
Dy1 0.247 0.000 0.248
Dy2 0.249 0.168 0.752

2.
# CeNd3Sm6Dy2, relaxed, DFT GGA-PBE
# Calculated density ... 7.40 g/cm3
# E ... -4.775 eV/atom
# DOS(E_F) ... 42.78 states/eV/cell
data_CeNd3Sm6Dy2
_symmetry_space_group_name_H-M 'C 1 2/m 1'
_symmetry_Int_Tables_number 12
_symmetry_space_group_name_Hall '-C 2y'
_cell_length_a 6.275
_cell_length_b 10.870
_cell_length_c 12.020
_cell_angle_alpha 90.00
_cell_angle_beta 100.05
_cell_angle_gamma 90.00
loop_
_atom_site_label
_atom_site_fract_x
_atom_site_fract_y
_atom_site_fract_z
Ce1 0.000 0.000 0.000
Nd1 0.000 0.167 0.500
Nd2 0.000 0.500 0.500
Sm1 0.248 0.166 0.246
Sm2 0.249 0.000 0.754
Dy1 0.000 0.333 0.000

3.
# Ce2NdSm6Dy3, relaxed, DFT GGA-PBE
# Calculated density ... 7.65 g/cm3
# E ... -4.842 eV/atom
# DOS(E_F) ... 48.52 states/eV/cell
data_Ce2NdSm6Dy3
_symmetry_space_group_name_H-M 'C 1 2/m 1'
_symmetry_Int_Tables_number 12
_symmetry_space_group_name_Hall '-C 2y'
_cell_length_a 6.222
_cell_length_b 10.783
_cell_length_c 11.915
_cell_angle_alpha 90.00
_cell_angle_beta 100.07
_cell_angle_gamma 90.00
loop_
_atom_site_label
_atom_site_fract_x
_atom_site_fract_y
_atom_site_fract_z
Ce1 0.000 0.167 0.000
Nd1 0.000 0.500 0.000
Sm1 0.247 0.000 0.250
Sm2 0.248 0.168 0.750
Dy1 0.000 0.000 0.500
Dy2 0.000 0.334 0.500